Entry 1:
# ThMg2Zn6

A relaxed ThMg2Zn6 crystal (PBE, the Alexandria database).

Geometry as POSCAR:
```
ThMg2Zn6
1.0
6.563 -3.592 0.000
6.563 3.592 0.000
-1.155 0.000 3.746
Th Mg Zn
1 2 6
Cartesian
0.000 0.000 0.000
3.899 0.000 3.282
8.072 0.000 0.464
3.769 2.221 1.182
5.986 1.240 1.873
8.203 2.221 2.564
3.769 -2.221 1.182
5.986 -1.240 1.873
8.203 -2.221 2.564
```

Properties
DFT formation energy: -0.1005 eV per atom
Calculated density: 6.3 g/cm³
SG: C2/m, No. 12
DFT total energy: -2.1286 eV per atom

Entry 2:
# Si2TcOs

A relaxed Si2TcOs crystal (PBE, the Alexandria database).

Geometry as POSCAR:
```
Si2TcOs
1.0
2.961 0.000 0.000
0.000 2.961 0.000
0.000 0.000 5.925
Si Tc Os
2 1 1
Cartesian
0.000 0.000 1.462
0.000 0.000 4.462
1.480 1.480 0.000
1.480 1.480 2.962
```

Properties
Offset from the most stable computed form: 24 meV/atom
Calculated density: 11.0 g/cm³
SG: P4/mmm, No. 123
DFT total energy: -8.5001 eV per atom
Formation energy from raw total energies: -0.39 eV per atom

Entry 3:
# TbNd5Ho3

A relaxed TbNd5Ho3 crystal (PBE, the Alexandria database).

Geometry as POSCAR:
```
TbNd5Ho3
1.0
5.961 -5.923 0.000
5.961 5.923 0.000
-2.664 0.000 9.579
Tb Nd Ho
2 10 6
Cartesian
2.214 0.000 2.219
7.044 0.000 7.360
3.214 2.960 3.389
0.553 0.000 8.784
5.961 2.923 0.000
1.533 0.000 5.567
6.044 2.960 6.190
3.214 -2.960 3.389
7.726 0.000 4.012
5.961 -2.923 0.000
8.706 0.000 0.795
6.044 -2.960 6.190
0.000 0.000 0.000
-0.817 0.000 3.259
5.491 0.000 1.678
4.629 0.000 4.790
3.768 0.000 7.901
10.075 0.000 6.321
```

Properties
DFT formation energy: 0.4834 eV per atom
Offset from the most stable computed form: 311 meV/atom
Calculated density: 6.7 g/cm³
SG: C2/m, No. 12
DFT total energy: -4.2058 eV per atom

Entry 4:
# MgNb2SiRh

A relaxed MgNb2SiRh crystal (PBE, the Alexandria database).

Geometry as POSCAR:
```
MgNb2SiRh
1.0
4.668 0.000 0.000
0.000 4.668 0.000
0.000 0.000 4.568
Mg Nb Si Rh
1 2 1 1
Cartesian
0.000 0.000 0.000
0.000 2.334 2.284
2.334 0.000 2.284
0.000 0.000 2.284
2.334 2.334 0.000
```

Properties
Calculated density: 5.7 g/cm³
SG: P4/mmm, No. 123
DFT total energy: -6.1601 eV per atom
Formation energy from raw total energies: 0.74 eV per atom

Entry 5:
# LuThScTc

A relaxed LuThScTc crystal (PBE, the Alexandria database).

Geometry as POSCAR:
```
LuThScTc
1.0
0.000 3.590 3.590
3.590 0.000 3.590
3.590 3.590 0.000
Lu Th Sc Tc
1 1 1 1
Cartesian
0.000 0.000 0.000
3.590 3.590 3.590
1.795 1.795 1.795
5.385 5.385 5.385
```

Properties
DFT formation energy: 0.0138 eV per atom
Calculated density: 9.9 g/cm³
SG: F-43m, No. 216
DFT total energy: -7.1458 eV per atom

Entry 6:
# LiZrTeSe

A relaxed LiZrTeSe crystal (PBE, the Alexandria database).

Geometry as POSCAR:
```
LiZrTeSe
1.0
1.937 1.118 7.018
-1.937 1.118 7.018
0.000 -2.237 7.018
Li Zr Te Se
1 1 1 1
Cartesian
0.000 0.000 0.000
0.000 0.000 10.086
0.000 0.000 4.946
0.000 0.000 15.457
```

Properties
Calculated density: 5.5 g/cm³
SG: R3m, No. 160
DFT total energy: -5.3854 eV per atom
Formation energy from raw total energies: -1.11 eV per atom

Entry 7:
# PaTaTi2C4

A relaxed PaTaTi2C4 crystal (PBE, the Alexandria database).

Geometry as POSCAR:
```
PaTaTi2C4
1.0
5.579 0.000 0.000
0.000 3.223 0.000
-1.905 0.000 5.386
Pa Ta Ti C
1 1 2 4
Cartesian
0.000 0.000 0.000
-0.953 1.611 2.693
1.837 0.000 2.693
2.790 1.611 0.000
0.023 0.000 3.996
0.974 1.611 1.471
2.700 1.611 3.914
3.651 0.000 1.390
```

Properties
DFT formation energy: -0.5588 eV per atom
Calculated density: 9.5 g/cm³
SG: P2/m, No. 10
DFT total energy: -9.8131 eV per atom

Entry 8:
# Ba4N2Cl3

A relaxed Ba4N2Cl3 crystal (PBE, the Alexandria database).

Geometry as POSCAR:
```
Ba4N2Cl3
1.0
7.711 -1.996 0.000
7.711 1.996 0.000
-1.686 0.000 9.070
Ba N Cl
4 2 3
Cartesian
1.067 0.000 1.780
4.350 0.000 3.540
9.385 0.000 5.529
12.668 0.000 7.289
3.627 0.000 6.018
10.107 0.000 3.052
-0.843 0.000 4.535
6.199 0.000 0.888
7.536 0.000 8.181
```

Properties
Calculated density: 4.1 g/cm³
SG: C2/m, No. 12
DFT total energy: -4.7068 eV per atom
Formation energy from raw total energies: -1.39 eV per atom

Entry 9:
# Zn3CoSn

A relaxed Zn3CoSn crystal (PBE, the Alexandria database).

Geometry as POSCAR:
```
Zn3CoSn
1.0
4.607 0.000 0.000
0.000 4.607 0.000
0.000 0.000 4.607
Zn Co Sn
3 1 1
Cartesian
0.000 0.000 2.303
0.000 2.303 0.000
2.303 0.000 0.000
0.000 0.000 0.000
2.303 2.303 2.303
```

Properties
DFT formation energy: 0.3167 eV per atom
Offset from the most stable computed form: 0 meV/atom
Calculated density: 6.4 g/cm³
SG: Pm-3m, No. 221
DFT total energy: -2.6694 eV per atom

Entry 10:
# BaLiInHg

A relaxed BaLiInHg crystal (PBE, the Alexandria database).

Geometry as POSCAR:
```
BaLiInHg
1.0
0.000 3.834 3.834
3.834 0.000 3.834
3.834 3.834 0.000
Ba Li In Hg
1 1 1 1
Cartesian
0.000 0.000 0.000
1.917 1.917 1.917
3.834 3.834 3.834
5.752 5.752 5.752
```

Properties
DFT formation energy: -0.3260 eV per atom
Offset from the most stable computed form: 28 meV/atom
Calculated density: 6.8 g/cm³
SG: F-43m, No. 216
DFT total energy: -2.0452 eV per atom

Entry 11:
# Re3Tc4Ru4

A relaxed Re3Tc4Ru4 crystal (PBE, the Alexandria database).

Geometry as POSCAR:
```
Re3Tc4Ru4
1.0
2.728 0.000 0.000
0.007 3.875 0.000
1.354 1.918 15.063
Re Tc Ru
3 4 4
Cartesian
0.000 0.000 0.000
1.363 1.931 4.102
2.726 3.862 10.961
1.358 1.925 9.548
1.367 1.933 1.374
2.721 3.859 13.690
2.731 3.867 5.515
1.356 1.921 12.303
1.362 1.926 6.833
2.727 3.867 8.231
2.732 3.871 2.760
```

Properties
DFT formation energy: 0.0631 eV per atom
Calculated density: 14.1 g/cm³
SG: P-1, No. 2
DFT total energy: -10.4743 eV per atom

Entry 12:
# TlPb3W

A relaxed TlPb3W crystal (PBE, the Alexandria database).

Geometry as POSCAR:
```
TlPb3W
1.0
5.745 0.000 0.000
0.000 5.745 0.000
0.000 0.000 5.745
Tl Pb W
1 3 1
Cartesian
0.000 0.000 0.000
0.000 0.000 2.873
0.000 2.873 0.000
2.873 0.000 0.000
2.873 2.873 2.873
```

Properties
DFT formation energy: 1.7525 eV per atom
Offset from the most stable computed form: 1199 meV/atom
Calculated density: 8.8 g/cm³
SG: Pm-3m, No. 221
DFT total energy: -3.5364 eV per atom